--- 1 ---
# LiSmHgPd, relaxed, DFT PBE
# mass density	9.49	g/cm³
# magnetization	0.000	μB per atom
data_LiSmHgPd
_space_group_name_H-M_alt 'I -4 m 2'
_space_group_IT_number 119
_space_group_name_Hall 'I -4 -2'
_cell_length_a 4.7150
_cell_length_b 4.7150
_cell_length_c 7.3066
_cell_angle_alpha 90.00
_cell_angle_beta 90.00
_cell_angle_gamma 90.00
loop_
_atom_site_label
_atom_site_type_symbol
_atom_site_fract_x
_atom_site_fract_y
_atom_site_fract_z
_atom_site_occupancy
Li1 Li 0.0000 0.0000 0.0000 1
Sm1 Sm 0.0000 0.5000 0.2500 1
Hg1 Hg 0.0000 0.5000 0.7500 1
Pd1 Pd 0.0000 0.0000 0.5000 1

=====

--- 2 ---
# LiSmHgPd, relaxed, DFT PBE
# mass density	8.97	g/cm³
# magnetization	0.000	μB per atom
data_LiSmHgPd
_space_group_name_H-M_alt 'F -4 3 m'
_space_group_IT_number 216
_space_group_name_Hall 'F -4 2 3'
_cell_length_a 7.0066
_cell_length_b 7.0066
_cell_length_c 7.0066
_cell_angle_alpha 90.00
_cell_angle_beta 90.00
_cell_angle_gamma 90.00
loop_
_atom_site_label
_atom_site_type_symbol
_atom_site_fract_x
_atom_site_fract_y
_atom_site_fract_z
_atom_site_occupancy
Li1 Li 0.0000 0.0000 0.0000 1
Sm1 Sm 0.0000 0.0000 0.5000 1
Hg1 Hg 0.2500 0.2500 0.7500 1
Pd1 Pd 0.2500 0.2500 0.2500 1

=====

Ordering by calculated energy gives the sequence 2, 1, with the first entry being the most stable.

=====

--- 1 ---
# LiPmHg, relaxed, DFT PBE
# mass density	8.18	g/cm³
# magnetization	0.027	μB per atom
data_LiPmHg
_space_group_name_H-M_alt 'P -6 m 2'
_space_group_IT_number 187
_space_group_name_Hall 'P -6 2'
_cell_length_a 4.9181
_cell_length_b 4.9181
_cell_length_c 3.4167
_cell_angle_alpha 90.00
_cell_angle_beta 90.00
_cell_angle_gamma 120.00
loop_
_atom_site_label
_atom_site_type_symbol
_atom_site_fract_x
_atom_site_fract_y
_atom_site_fract_z
_atom_site_occupancy
Li1 Li 0.0000 0.0000 0.0000 1
Pm1 Pm 0.3333 0.6667 0.5000 1
Hg1 Hg 0.6667 0.3333 0.0000 1

=====

--- 2 ---
# LiPmHg, relaxed, DFT PBE
# mass density	7.38	g/cm³
# magnetization	0.000	μB per atom
data_LiPmHg
_space_group_name_H-M_alt 'I m m m'
_space_group_IT_number 71
_space_group_name_Hall '-I 2 2'
_cell_length_a 3.4135
_cell_length_b 5.3422
_cell_length_c 17.4073
_cell_angle_alpha 90.00
_cell_angle_beta 90.00
_cell_angle_gamma 90.00
loop_
_atom_site_label
_atom_site_type_symbol
_atom_site_fract_x
_atom_site_fract_y
_atom_site_fract_z
_atom_site_occupancy
Li1 Li 0.0000 0.2484 0.0000 1
Pm1 Pm 0.0000 0.5000 0.3292 1
Hg1 Hg 0.0000 0.5000 0.1396 1

=====

Ordering by calculated energy gives the sequence 1, 2, with the first entry being the most stable.

=====

--- 1 ---
# LiPmHg, relaxed, DFT PBE
# mass density	6.76	g/cm³
# magnetization	0.144	μB per atom
data_LiPmHg
_space_group_name_H-M_alt 'F -4 3 m'
_space_group_IT_number 216
_space_group_name_Hall 'F -4 2 3'
_cell_length_a 7.0224
_cell_length_b 7.0224
_cell_length_c 7.0224
_cell_angle_alpha 90.00
_cell_angle_beta 90.00
_cell_angle_gamma 90.00
loop_
_atom_site_label
_atom_site_type_symbol
_atom_site_fract_x
_atom_site_fract_y
_atom_site_fract_z
_atom_site_occupancy
Li1 Li 0.0000 0.0000 0.0000 1
Pm1 Pm 0.0000 0.0000 0.5000 1
Hg1 Hg 0.2500 0.2500 0.7500 1

=====

--- 2 ---
# LiPmHg, relaxed, DFT PBE
# mass density	7.59	g/cm³
# magnetization	0.000	μB per atom
data_LiPmHg
_space_group_name_H-M_alt 'C m c m'
_space_group_IT_number 63
_space_group_name_Hall '-C 2c 2'
_cell_length_a 5.6096
_cell_length_b 8.7766
_cell_length_c 6.2655
_cell_angle_alpha 90.00
_cell_angle_beta 90.00
_cell_angle_gamma 90.00
loop_
_atom_site_label
_atom_site_type_symbol
_atom_site_fract_x
_atom_site_fract_y
_atom_site_fract_z
_atom_site_occupancy
Li1 Li 0.0000 0.0000 0.0000 1
Pm1 Pm 0.0000 0.3493 0.2500 1
Hg1 Hg 0.0000 0.2951 0.7500 1

=====

--- 3 ---
# LiPmHg, relaxed, DFT PBE
# mass density	7.89	g/cm³
# magnetization	0.000	μB per atom
data_LiPmHg
_space_group_name_H-M_alt 'P -6 2 m'
_space_group_IT_number 189
_space_group_name_Hall 'P -6 -2'
_cell_length_a 7.2924
_cell_length_b 7.2924
_cell_length_c 4.8342
_cell_angle_alpha 90.00
_cell_angle_beta 90.00
_cell_angle_gamma 120.00
loop_
_atom_site_label
_atom_site_type_symbol
_atom_site_fract_x
_atom_site_fract_y
_atom_site_fract_z
_atom_site_occupancy
Li1 Li 0.0000 0.7693 0.0000 1
Pm1 Pm 0.0000 0.4262 0.5000 1
Hg1 Hg 0.0000 0.0000 0.5000 1
Hg2 Hg 0.3333 0.6667 0.0000 1

=====

--- 4 ---
# LiPmHg, relaxed, DFT PBE
# mass density	8.04	g/cm³
# magnetization	0.015	μB per atom
data_LiPmHg
_space_group_name_H-M_alt 'I 4 m m'
_space_group_IT_number 107
_space_group_name_Hall 'I 4 -2'
_cell_length_a 3.8328
_cell_length_b 3.8328
_cell_length_c 9.9136
_cell_angle_alpha 90.00
_cell_angle_beta 90.00
_cell_angle_gamma 90.00
loop_
_atom_site_label
_atom_site_type_symbol
_atom_site_fract_x
_atom_site_fract_y
_atom_site_fract_z
_atom_site_occupancy
Li1 Li 0.0000 0.0000 0.0000 1
Pm1 Pm 0.0000 0.0000 0.3108 1
Hg1 Hg 0.0000 0.0000 0.6329 1

=====

Ordering by calculated energy gives the sequence 3, 2, 4, 1, with the first entry being the most stable.